--- one ---
The following is a PBE calculation of crystalline TmScTlNi at its relaxed geometry, from Alexandria via LeMat-Bulk.

Cell: 3.354 3.354 7.490 Å, 90.00 90.00 90.00°
Atoms (fractional coordinates):
Tm1 0.500 0.500 0.780
Sc1 0.500 0.500 0.365
Tl1 0.000 0.000 0.087
Ni1 0.000 0.000 0.553

--- two ---
The following is a PBE calculation of crystalline TmScTlNi at its relaxed geometry, from Alexandria via LeMat-Bulk.

Cell: 4.936 4.936 4.936 Å, 60.00 60.00 60.00°
Atoms (fractional coordinates):
Sc1 0.500 0.500 0.500
Ni1 0.250 0.250 0.250
Tl1 0.750 0.750 0.750
Tm1 0.000 0.000 0.000

Energetically preferred structure: one | next structure: +11.5 kJ/mol of atoms

--- one ---
The following is a PBE calculation of crystalline TmScNi at its relaxed geometry, from Alexandria via LeMat-Bulk.

Cell: 4.552 4.552 4.552 Å, 60.00 60.00 60.00°
Atoms (fractional coordinates):
Sc1 0.500 0.500 0.500
Ni1 0.250 0.250 0.250
Tm1 0.000 0.000 0.000

--- two ---
The following is a PBE calculation of crystalline TmScNi at its relaxed geometry, from Alexandria via LeMat-Bulk.

Cell: 3.292 3.292 6.255 Å, 105.26 105.26 90.00°
Atoms (fractional coordinates):
Sc1 0.296 0.296 0.593
Ni1 0.675 0.675 0.349
Tm1 0.029 0.029 0.058

Energetically preferred structure: two | next structure: +9.6 kJ/mol of atoms

--- one ---
The following is a PBE calculation of crystalline TmScNi at its relaxed geometry, from Alexandria via LeMat-Bulk.

Cell: 6.310 6.310 11.311 Å, 90.00 90.00 120.00°
Atoms (fractional coordinates):
Tm1 0.500 0.000 0.667
Tm2 0.000 0.000 0.500
Tm3 0.000 0.000 0.833
Tm4 0.000 0.000 0.167
Tm5 0.500 0.500 0.000
Tm6 0.000 0.500 0.333
Ni1 0.388 0.775 0.167
Ni2 0.775 0.388 0.833
Ni3 0.612 0.388 0.500
Ni4 0.612 0.225 0.167
Ni5 0.388 0.612 0.500
Ni6 0.225 0.612 0.833
Sc1 0.500 0.500 0.293
Sc2 0.000 0.500 0.627
Sc3 0.500 0.500 0.707
Sc4 0.000 0.500 0.040
Sc5 0.500 0.000 0.960
Sc6 0.500 0.000 0.373

--- two ---
The following is a PBE calculation of crystalline TmScNi at its relaxed geometry, from Alexandria via LeMat-Bulk.

Cell: 6.835 8.235 8.235 Å, 67.91 65.48 65.48°
Atoms (fractional coordinates):
Tm1 0.158 0.048 0.548
Tm2 0.753 0.952 0.452
Tm3 0.349 0.750 0.250
Tm4 0.349 0.250 0.750
Tm5 0.753 0.452 0.952
Tm6 0.158 0.548 0.048
Sc1 0.017 0.000 0.000
Sc2 0.017 0.500 0.500
Sc3 0.753 0.368 0.368
Sc4 0.490 0.632 0.632
Sc5 0.490 0.132 0.132
Sc6 0.753 0.868 0.868
Ni1 0.753 0.250 0.750
Ni2 0.753 0.750 0.250
Ni3 0.087 0.167 0.167
Ni4 0.420 0.833 0.833
Ni5 0.420 0.333 0.333
Ni6 0.087 0.667 0.667

Energetically preferred structure: two | next structure: +9.2 kJ/mol of atoms